Material: HgIr2PdO6
Method: DFT, GGA-PBE
State: relaxed

mass density: 10.9 g cm⁻³
DFT total energy: -5.885 eV per atom

```
data_HgIr2PdO6
_chemical_formula_sum 'Hg2 Ir4 Pd2 O12'
_cell_length_a 7.252
_cell_length_b 10.582
_cell_length_c 3.134
_cell_angle_alpha 90.00
_cell_angle_beta 90.00
_cell_angle_gamma 90.00
_symmetry_space_group_name_H-M 'C m m m'
_symmetry_Int_Tables_number 65
_symmetry_space_group_name_Hall '-C 2 2'
loop_
_atom_site_label
_atom_site_fract_x
_atom_site_fract_y
_atom_site_fract_z
Hg1 0.000 0.000 0.000
Ir1 0.250 0.250 0.500
Pd1 0.000 0.500 0.000
O1 0.000 0.184 0.500
O2 0.205 0.368 0.000
```

---

Material: LaGdNO
Method: DFT, GGA-PBE
State: relaxed

mass density: 7.2 g cm⁻³
DFT total energy: -7.775 eV per atom
energy above the most stable polymorph in this dataset: 77.4 meV per atom

```
data_LaGdNO
_chemical_formula_sum 'La4 Gd4 N4 O4'
_cell_length_a 8.350
_cell_length_b 6.995
_cell_length_c 5.166
_cell_angle_alpha 90.00
_cell_angle_beta 90.00
_cell_angle_gamma 90.00
_symmetry_space_group_name_H-M 'P b c m'
_symmetry_Int_Tables_number 57
loop_
_symmetry_equiv_pos_as_xyz
'x,y,z'
'-x,-y,-z'
'-x,-y,z+1/2'
'x,y,-z+1/2'
'x,-y+1/2,-z'
'-x,y+1/2,z'
'-x,y+1/2,-z+1/2'
'x,-y+1/2,z+1/2'
loop_
_atom_site_label
_atom_site_fract_x
_atom_site_fract_y
_atom_site_fract_z
La1 0.131 0.082 0.250
Gd1 0.381 0.579 0.250
N1 0.136 0.059 0.750
O1 0.383 0.597 0.750
```

---

Material: DyAlIn4Ir
Method: DFT, GGA-PBE
State: relaxed

mass density: 8.9 g cm⁻³
DFT total energy: -4.352 eV per atom

```
data_DyAlIn4Ir
_chemical_formula_sum 'Dy1 Al1 In4 Ir1'
_cell_length_a 4.612
_cell_length_b 4.612
_cell_length_c 7.416
_cell_angle_alpha 90.00
_cell_angle_beta 90.00
_cell_angle_gamma 90.00
_symmetry_space_group_name_H-M 'P 4/m m m'
_symmetry_Int_Tables_number 123
_symmetry_space_group_name_Hall '-P 4 2'
loop_
_atom_site_label
_atom_site_fract_x
_atom_site_fract_y
_atom_site_fract_z
Dy1 0.000 0.000 0.000
Al1 0.500 0.500 0.000
In1 0.000 0.500 0.295
Ir1 0.000 0.000 0.500
```

---

Material: RbCoCuTc
Method: DFT, GGA-PBE
State: relaxed

mass density: 7.4 g cm⁻³
DFT total energy: -3.824 eV per atom
energy above the most stable polymorph in this dataset: 210.1 meV per atom

```
data_RbCoCuTc
_chemical_formula_sum 'Rb4 Co4 Cu4 Tc4'
_cell_length_a 6.494
_cell_length_b 6.494
_cell_length_c 6.494
_cell_angle_alpha 90.00
_cell_angle_beta 90.00
_cell_angle_gamma 90.00
_symmetry_space_group_name_H-M 'F -4 3 m'
_symmetry_Int_Tables_number 216
_symmetry_space_group_name_Hall 'F -4 2 3'
loop_
_atom_site_label
_atom_site_fract_x
_atom_site_fract_y
_atom_site_fract_z
Rb1 0.000 0.000 0.000
Co1 0.250 0.250 0.750
Cu1 0.000 0.000 0.500
Tc1 0.250 0.250 0.250
```

---

Material: YMgNiB
Method: DFT, GGA-PBE
State: relaxed

mass density: 4.8 g cm⁻³
DFT total energy: -4.977 eV per atom
energy above the most stable polymorph in this dataset: 0.0 meV per atom

```
data_YMgNiB
_chemical_formula_sum 'Y4 Mg4 Ni4 B4'
_cell_length_a 6.308
_cell_length_b 6.308
_cell_length_c 6.308
_cell_angle_alpha 90.00
_cell_angle_beta 90.00
_cell_angle_gamma 90.00
_symmetry_space_group_name_H-M 'F -4 3 m'
_symmetry_Int_Tables_number 216
_symmetry_space_group_name_Hall 'F -4 2 3'
loop_
_atom_site_label
_atom_site_fract_x
_atom_site_fract_y
_atom_site_fract_z
Y1 0.000 0.000 0.000
Mg1 0.000 0.000 0.500
Ni1 0.250 0.250 0.250
B1 0.250 0.250 0.750
```

---

Material: ZrAl2Au
Method: DFT, GGA-PBE
State: relaxed

mass density: 7.7 g cm⁻³
DFT total energy: -5.036 eV per atom

```
data_ZrAl2Au
_chemical_formula_sum 'Zr4 Al8 Au4'
_cell_length_a 6.651
_cell_length_b 6.651
_cell_length_c 6.651
_cell_angle_alpha 90.00
_cell_angle_beta 90.00
_cell_angle_gamma 90.00
_symmetry_space_group_name_H-M 'F -4 3 m'
_symmetry_Int_Tables_number 216
_symmetry_space_group_name_Hall 'F -4 2 3'
loop_
_atom_site_label
_atom_site_fract_x
_atom_site_fract_y
_atom_site_fract_z
Zr1 0.000 0.000 0.000
Al1 0.000 0.000 0.500
Al2 0.250 0.250 0.250
Au1 0.250 0.250 0.750
```

---

Material: LiPuBi
Method: DFT, GGA-PBE
State: relaxed

mass density: 10.4 g cm⁻³
DFT total energy: -7.212 eV per atom
energy above the most stable polymorph in this dataset: 0.0 meV per atom

```
data_LiPuBi
_chemical_formula_sum 'Li2 Pu2 Bi2'
_cell_length_a 4.9349
_cell_length_b 4.9349
_cell_length_c 6.9780
_cell_angle_alpha 90.00
_cell_angle_beta 90.00
_cell_angle_gamma 120.00
_symmetry_space_group_name_H-M 'P 63/m m c'
_symmetry_Int_Tables_number 194
_symmetry_space_group_name_Hall '-P 6c 2c'
loop_
_atom_site_label
_atom_site_fract_x
_atom_site_fract_y
_atom_site_fract_z
Li1 0.3333 0.6667 0.2500
Pu1 0.0000 0.0000 0.0000
Bi1 0.3333 0.6667 0.7500
```

---

Material: Er4GaGe3
Method: DFT, GGA-PBE
State: relaxed

mass density: 8.9 g cm⁻³
DFT total energy: -5.212 eV per atom

```
data_Er4GaGe3
_chemical_formula_sum 'Er4 Ga1 Ge3'
_cell_length_a 3.942
_cell_length_b 4.258
_cell_length_c 10.666
_cell_angle_alpha 90.00
_cell_angle_beta 90.00
_cell_angle_gamma 90.00
_symmetry_space_group_name_H-M 'P m m 2'
_symmetry_Int_Tables_number 25
loop_
_symmetry_equiv_pos_as_xyz
'x,y,z'
'-x,-y,z'
'-x,y,z'
'x,-y,z'
loop_
_atom_site_label
_atom_site_fract_x
_atom_site_fract_y
_atom_site_fract_z
Er1 0.000 0.000 0.000
Er2 0.000 0.500 0.499
Er3 0.500 0.000 0.721
Er4 0.500 0.500 0.222
Ga1 0.000 0.500 0.779
Ge1 0.000 0.000 0.274
Ge2 0.500 0.000 0.445
Ge3 0.500 0.500 0.942
```

---

Material: PmBAsO
Method: DFT, GGA-PBE
State: relaxed

mass density: 5.5 g cm⁻³
DFT total energy: -5.790 eV per atom
energy above the most stable polymorph in this dataset: 760.5 meV per atom

```
data_PmBAsO
_chemical_formula_sum 'Pm2 B2 As2 O2'
_cell_length_a 5.829
_cell_length_b 5.829
_cell_length_c 4.408
_cell_angle_alpha 90.00
_cell_angle_beta 90.00
_cell_angle_gamma 90.00
_symmetry_space_group_name_H-M 'P 4/n m m'
_symmetry_Int_Tables_number 129
loop_
_symmetry_equiv_pos_as_xyz
'x,y,z'
'-x,-y,-z'
'-y+1/2,x,z'
'y+1/2,-x,-z'
'-x+1/2,-y+1/2,z'
'x+1/2,y+1/2,-z'
'y,-x+1/2,z'
'-y,x+1/2,-z'
'x+1/2,-y,-z'
'-x+1/2,y,z'
'-y,-x,-z'
'y,x,z'
'-x,y+1/2,-z'
'x,-y+1/2,z'
'y+1/2,x+1/2,-z'
'-y+1/2,-x+1/2,z'
loop_
_atom_site_label
_atom_site_fract_x
_atom_site_fract_y
_atom_site_fract_z
Pm1 0.250 0.750 0.000
B1 0.250 0.250 0.076
As1 0.250 0.250 0.647
O1 0.250 0.750 0.500
```

---

Material: TmLu4ZnIr2
Method: DFT, GGA-PBE
State: relaxed

mass density: 12.8 g cm⁻³
DFT total energy: -5.681 eV per atom
ΔE_f: -3.9 eV/f.u.

```
data_TmLu4ZnIr2
_chemical_formula_sum 'Tm1 Lu4 Zn1 Ir2'
_cell_length_a 4.847
_cell_length_b 4.847
_cell_length_c 7.258
_cell_angle_alpha 90.00
_cell_angle_beta 90.00
_cell_angle_gamma 90.00
_symmetry_space_group_name_H-M 'P 4/m m m'
_symmetry_Int_Tables_number 123
_symmetry_space_group_name_Hall '-P 4 2'
loop_
_atom_site_label
_atom_site_fract_x
_atom_site_fract_y
_atom_site_fract_z
Tm1 0.000 0.000 0.000
Lu1 0.000 0.500 0.269
Zn1 0.500 0.500 0.500
Ir1 0.000 0.000 0.500
Ir2 0.500 0.500 0.000
```

---

Material: Pa2TcCl3
Method: DFT, GGA-PBE
State: relaxed

mass density: 8.9 g cm⁻³
DFT total energy: -6.350 eV per atom

```
data_Pa2TcCl3
_chemical_formula_sum 'Pa2 Tc1 Cl3'
_cell_length_a 3.852
_cell_length_b 3.852
_cell_length_c 8.380
_cell_angle_alpha 90.00
_cell_angle_beta 90.00
_cell_angle_gamma 90.00
_symmetry_space_group_name_H-M 'P -4 m 2'
_symmetry_Int_Tables_number 115
loop_
_symmetry_equiv_pos_as_xyz
'x,y,z'
'y,-x,-z'
'-x,-y,z'
'-y,x,-z'
'-x,y,z'
'-y,-x,-z'
'x,-y,z'
'y,x,-z'
loop_
_atom_site_label
_atom_site_fract_x
_atom_site_fract_y
_atom_site_fract_z
Pa1 0.000 0.500 0.235
Tc1 0.500 0.500 0.000
Cl1 0.000 0.000 0.000
Cl2 0.000 0.500 0.624
```

---

Material: BaNaSiAu
Method: DFT, GGA-PBE
State: relaxed

mass density: 5.8 g cm⁻³
DFT total energy: -3.060 eV per atom
energy above the most stable polymorph in this dataset: 55.4 meV per atom

```
data_BaNaSiAu
_chemical_formula_sum 'Ba4 Na4 Si4 Au4'
_cell_length_a 7.612
_cell_length_b 7.612
_cell_length_c 7.612
_cell_angle_alpha 90.00
_cell_angle_beta 90.00
_cell_angle_gamma 90.00
_symmetry_space_group_name_H-M 'F -4 3 m'
_symmetry_Int_Tables_number 216
_symmetry_space_group_name_Hall 'F -4 2 3'
loop_
_atom_site_label
_atom_site_fract_x
_atom_site_fract_y
_atom_site_fract_z
Ba1 0.000 0.000 0.000
Na1 0.000 0.000 0.500
Si1 0.250 0.250 0.750
Au1 0.250 0.250 0.250
```